A relaxed structure of AgMoCl. Source: Alexandria via LeMat-Bulk, functional GGA-PBE.

abc: 7.734 7.460 2.960
angles: 84.04 73.59 22.37
Sites, in units of the cell vectors:
Ag (0.014, 0.014, 0.986)
Mo (0.678, 0.678, 0.322)
Cl (0.308, 0.308, 0.692)

energy: -4.832 eV/atom
E_form (uncorrected): 33.18 kJ per mole of atoms
calculated volume: 18.8 A^3/atom
energy above the most stable polymorph in this dataset: 182 meV/atom
space group: Fmm2